A geometry-optimized YZrTiCu2 structure. Source: Alexandria via LeMat-Bulk, functional PBEsol.

The structure in POSCAR format:
```
YZrTiCu2
1.0
4.7176 0.0000 0.0000
0.0000 4.7176 0.0000
0.0000 0.0000 4.9656
Cu Zr Y Ti
2 1 1 1
Direct
0.0000 0.5000 0.0000 Cu
0.5000 0.0000 0.0000 Cu
0.0000 0.0000 0.5000 Zr
0.0000 0.0000 0.0000 Y
0.5000 0.5000 0.5000 Ti
```

Values from the calculation:
V ... 22.10 Å³ per atom
Electronic total energy ... -5.123 eV per atom
Space group ... P4/mmm
Calculated formation energy ... 1.4576 eV/atom
Total moment ... 0.332 μB per atom

---

A geometry-optimized Ti3ZnCu structure. Source: Alexandria via LeMat-Bulk, functional PBEsol.

The structure in POSCAR format:
```
Ti3ZnCu
1.0
-2.9940 3.1146 1.3243
-3.2788 -3.1077 -0.1038
0.8392 -1.0296 4.3190
Ti Cu Zn
3 1 1
Direct
0.0000 0.0000 0.5000 Ti
0.0000 0.5000 0.0000 Ti
0.5000 0.0000 0.0000 Ti
0.0000 0.0000 0.0000 Cu
0.5000 0.5000 0.5000 Zn
```

Values from the calculation:
V ... 18.45 Å³ per atom
Electronic total energy ... -5.509 eV per atom
Space group ... Pm-3m
Calculated formation energy ... 0.6679 eV/atom
Total moment ... 0.000 μB per atom

---

Among the records above, which one has the lowest calculated formation energy? Ti3ZnCu

---

What is the formula in the first record? YZrTiCu2

---

The lowest electronic total energy belongs to which entry? Ti3ZnCu

---

What is the electronic total energy in the first record? -5.123 eV per atom